This record from Alexandria via LeMat-Bulk describes a relaxed structure of Nd2Al4CdAg3. The functional is GGA-PBE.

Lattice parameters (Å, degrees): 4.4142 4.4142 10.9385 90.00 90.00 90.00
Atoms (fractional coordinates):
1 Nd 0.5000 0.0000 0.2455
2 Nd 0.0000 0.5000 0.7545
3 Al 0.5000 0.5000 0.0000
4 Al 0.0000 0.0000 0.0000
5 Al 0.5000 0.0000 0.6435
6 Al 0.0000 0.5000 0.3565
7 Cd 0.5000 0.5000 0.5000
8 Ag 0.0000 0.0000 0.5000
9 Ag 0.5000 0.0000 0.8729
10 Ag 0.0000 0.5000 0.1271

## Properties
For the total energy, the calculation gives -3.73 eV per atom. The value obtained for the mass density is 6.49 g/cm³. Its space group is P-4m2. For the calculated formation energy, the calculation gives -3.4 eV per formula unit.